No. 1
## KGa2Os (PBE-GGA)

Data for crystalline KGa2Os at its relaxed geometry.

Summary:
The magnetic moment is 0.0 μB/cell. The calculation puts the total energy at -17.1 eV per formula unit. As for the distance to the lowest polymorph of the same formula: 0.000 eV per atom. The formation energy is 0.328 eV per atom. For the calculated volume, the calculation gives 33.51 A^3/atom.

Cell: 6.073 6.073 14.537 Å, 90.00 90.00 90.00°
Space group I4_1/amd (No. 141, origin choice 2)
Symmetry-distinct sites (fractional):
K 0.000 0.250 0.375 x4
Ga 0.000 0.000 0.000 x8
Os 0.000 0.250 0.875 x4


No. 2
## KGa3Os (PBE-GGA)

Data for crystalline KGa3Os at its relaxed geometry.

Summary:
The magnetic moment is 0.0 μB/cell. The calculation puts the total energy at -21.6 eV per formula unit. As for the distance to the lowest polymorph of the same formula: 0.206 eV per atom. The formation energy is -0.032 eV per atom. For the calculated volume, the calculation gives 22.73 A^3/atom.

Cell: 5.029 5.108 9.579 Å, 89.76 89.67 67.47°
Space group P-1 (No. 2)
Symmetry-distinct sites (fractional):
K 0.247 0.247 0.402 x2
Ga 0.050 0.114 0.779 x2
Ga 0.249 0.250 0.044 x2
Ga 0.454 0.388 0.779 x2
Os 0.250 0.750 0.975 x2


No. 3
## KGa3Os (PBE-GGA)

Data for crystalline KGa3Os at its relaxed geometry.

Summary:
The magnetic moment is 0.0 μB/cell. The calculation puts the total energy at -21.4 eV per formula unit. As for the distance to the lowest polymorph of the same formula: 0.237 eV per atom. The formation energy is -0.002 eV per atom. For the calculated volume, the calculation gives 23.25 A^3/atom.

Cell: 8.942 5.311 10.273 Å, 90.00 107.61 90.00°
Space group Cm (No. 8)
Symmetry-distinct sites (fractional):
K 0.000 0.000 0.000 x2
K 0.228 0.500 0.218 x2
Ga 0.107 0.000 0.377 x2
Ga 0.119 0.500 0.841 x2
Ga 0.271 0.000 0.841 x2
Ga 0.363 0.000 0.607 x2
Ga 0.363 0.500 0.611 x2
Ga 0.458 0.000 0.377 x2
Os 0.114 0.250 0.610 x4


No. 4
## KGa3Os (PBE-GGA)

Data for crystalline KGa3Os at its relaxed geometry.

Summary:
The magnetic moment is 0.0 μB/cell. The calculation puts the total energy at -21.4 eV per formula unit. As for the distance to the lowest polymorph of the same formula: 0.231 eV per atom. The formation energy is -0.008 eV per atom. For the calculated volume, the calculation gives 26.14 A^3/atom.

Cell: 4.616 4.887 12.343 Å, 78.87 88.87 73.20°
Space group P-1 (No. 2)
Symmetry-distinct sites (fractional):
K 0.240 0.146 0.149 x2
Ga 0.133 0.349 0.691 x2
Ga 0.288 0.831 0.644 x2
Ga 0.318 0.729 0.429 x2
Os 0.205 0.241 0.463 x2


No. 5
## KGa3Os (PBE-GGA)

Data for crystalline KGa3Os at its relaxed geometry.

Summary:
The magnetic moment is 0.0 μB/cell. The calculation puts the total energy at -19.6 eV per formula unit. As for the distance to the lowest polymorph of the same formula: 0.602 eV per atom. The formation energy is 0.363 eV per atom. For the calculated volume, the calculation gives 27.41 A^3/atom.

Cell: 4.781 4.781 23.981 Å, 90.00 90.00 90.00°
Space group I-4m2 (No. 119)
Symmetry-distinct sites (fractional):
K 0.000 0.000 0.000 x2
K 0.000 0.500 0.250 x2
Ga 0.000 0.000 0.329 x4
Ga 0.000 0.240 0.136 x8
Os 0.000 0.500 0.701 x4


No. 6
## KGa3Os (PBE-GGA)

Data for crystalline KGa3Os at its relaxed geometry.

Summary:
The magnetic moment is 0.0 μB/cell. The calculation puts the total energy at -21.4 eV per formula unit. As for the distance to the lowest polymorph of the same formula: 0.232 eV per atom. The formation energy is -0.007 eV per atom. For the calculated volume, the calculation gives 23.27 A^3/atom.

Cell: 4.251 17.730 6.174 Å, 90.00 90.00 90.00°
Space group Cmcm (No. 63)
Symmetry-distinct sites (fractional):
K 0.000 0.069 0.250 x4
Ga 0.000 0.290 0.007 x8
Ga 0.000 0.409 0.250 x4
Os 0.000 0.178 0.750 x4


No. 7
## KGa3Os (PBE-GGA)

Data for crystalline KGa3Os at its relaxed geometry.

Summary:
The magnetic moment is 0.0 μB/cell. The calculation puts the total energy at -19.5 eV per formula unit. As for the distance to the lowest polymorph of the same formula: 0.617 eV per atom. The formation energy is 0.378 eV per atom. For the calculated volume, the calculation gives 31.30 A^3/atom.

Cell: 4.2271 4.2271 20.2233 Å, 90.00 90.00 120.00°
Space group P6_3/mmc (No. 194)
Symmetry-distinct sites (fractional):
K 0.0000 0.0000 0.0000 x2
Ga 0.0000 0.0000 0.2500 x2
Ga 0.3333 0.6667 0.1326 x4
Os 0.3333 0.6667 0.2500 x2


No. 8
## KGa3Os (PBE-GGA)

Data for crystalline KGa3Os at its relaxed geometry.

Summary:
The magnetic moment is 0.1 μB/cell. The calculation puts the total energy at -20.4 eV per formula unit. As for the distance to the lowest polymorph of the same formula: 0.448 eV per atom. The formation energy is 0.209 eV per atom. For the calculated volume, the calculation gives 22.76 A^3/atom.

Cell: 3.661 3.661 8.494 Å, 90.00 90.00 90.00°
Space group P4mm (No. 99)
Symmetry-distinct sites (fractional):
K 0.000 0.000 0.000 x1
Ga 0.000 0.000 0.631 x1
Ga 0.000 0.500 0.348 x2
Os 0.500 0.500 0.583 x1


Which value of magnetic moment does entry 7 give?
0.0 μB/cell